# CoPHO5 (GGA+U, relaxed)
data_CoPHO5
_cell_length_a 5.0921
_cell_length_b 5.1340
_cell_length_c 7.0081
_cell_angle_alpha 108.10
_cell_angle_beta 106.77
_cell_angle_gamma 101.22
_symmetry_space_group_name_H-M 'P 1'
_symmetry_Int_Tables_number 1
loop_
_symmetry_equiv_pos_as_xyz
'x,y,z'
loop_
_atom_site_label
_atom_site_fract_x
_atom_site_fract_y
_atom_site_fract_z
Co1 0.5000 0.5000 0.5000
Co2 0.0000 0.0000 0.0000
P1 0.5578 0.9141 0.2420
P2 0.4422 0.0859 0.7580
H1 0.9862 0.3493 0.3115
H2 0.0138 0.6507 0.6885
O1 0.8564 0.6636 0.7468
O2 0.1436 0.3364 0.2532
O3 0.6898 0.2484 0.3752
O4 0.3102 0.7516 0.6248
O5 0.3458 0.2453 0.6067
O6 0.6542 0.7547 0.3933
O7 0.6888 0.8344 0.0678
O8 0.3112 0.1656 0.9322
O9 0.2245 0.8186 0.1445
O10 0.7755 0.1814 0.8555
# * total energy: -6.169 eV per atom
# * total moment: 2.04 μB/cell